(1)
## YSc3I (PBE-GGA)

Data for a geometry-optimized YSc3I structure.

Summary:
space group: Pm-3m (221)
Fermi-level density of states: 4.98 states/eV/cell
energy relative to the elements, uncorrected: 0.214 eV/atom
DFT total energy: -25.94 eV per formula unit
distance to the lowest polymorph of the same formula: 0 meV per atom

a b c (Å): 5.3309 5.3309 5.3309
angles (deg): 90.00 90.00 90.00
Positions (direct):
1 I 0.0000 0.0000 0.0000
2 Y 0.5000 0.5000 0.5000
3 Sc 0.0000 0.5000 0.0000
4 Sc 0.0000 0.0000 0.5000
5 Sc 0.5000 0.0000 0.0000

=====

(2)
## YScI3 (PBE-GGA)

Data for a geometry-optimized YScI3 structure.

Summary:
space group: Pm-3m (221)
Fermi-level density of states: 7.14 states/eV/cell
energy relative to the elements, uncorrected: -0.350 eV/atom
DFT total energy: -19.19 eV per formula unit
distance to the lowest polymorph of the same formula: 680 meV per atom

a b c (Å): 5.6817 5.6817 5.6817
angles (deg): 90.00 90.00 90.00
Last column: magnetic moment on the atom in μB.
Positions (direct):
1 I 0.0000 0.5000 0.0000  0.00
2 I 0.0000 0.0000 0.5000  0.01
3 I 0.5000 0.0000 0.0000  -0.01
4 Y 0.5000 0.5000 0.5000  0.75
5 Sc 0.0000 0.0000 0.0000  0.42

=====

(3)
## YScI2 (PBE-GGA)

Data for a geometry-optimized YScI2 structure.

Summary:
space group: Fm-3m (225)
Fermi-level density of states: 1.27 states/eV/cell
energy relative to the elements, uncorrected: -0.518 eV/atom
DFT total energy: -17.97 eV per formula unit
distance to the lowest polymorph of the same formula: 0 meV per atom

a b c (Å): 5.2672 5.2672 5.2672
angles (deg): 60.00 60.00 60.00
Positions (direct):
1 I 0.2500 0.2500 0.2500
2 I 0.7500 0.7500 0.7500
3 Y 0.5000 0.5000 0.5000
4 Sc 0.0000 0.0000 0.0000

=====

(4)
## YScI3 (PBE-GGA)

Data for a geometry-optimized YScI3 structure.

Summary:
space group: C2/m (12)
Fermi-level density of states: 0.70 states/eV/cell
energy relative to the elements, uncorrected: -1.030 eV/atom
DFT total energy: -22.59 eV per formula unit
distance to the lowest polymorph of the same formula: 0 meV per atom

a b c (Å): 3.9613 10.0464 10.5036
angles (deg): 71.68 79.13 78.63
Positions (direct):
1 Y 0.1267 0.0170 0.7295
2 Y 0.8733 0.9830 0.2705
3 Sc 0.4376 0.1606 0.9642
4 Sc 0.5624 0.8394 0.0358
5 I 0.6659 0.1718 0.4965
6 I 0.3341 0.8282 0.5035
7 I 0.2050 0.7052 0.8849
8 I 0.7950 0.2948 0.1151
9 I 0.9637 0.3193 0.7533
10 I 0.0363 0.6807 0.2467